<1>
VASP calculation (PBE) on a geometry-optimized CuTcC2 structure.

Structure (CIF):
```
data_CuTcC2
_chemical_formula_sum 'Cu4 Tc4 C8'
_cell_length_a 4.582
_cell_length_b 4.582
_cell_length_c 9.159
_cell_angle_alpha 90.00
_cell_angle_beta 90.00
_cell_angle_gamma 90.00
_symmetry_space_group_name_H-M 'I -4 2 d'
_symmetry_Int_Tables_number 122
_symmetry_space_group_name_Hall 'I -4 2bw'
loop_
_atom_site_label
_atom_site_type_symbol
_atom_site_fract_x
_atom_site_fract_y
_atom_site_fract_z
Cu1 Cu 0.000 0.000 0.000
Tc1 Tc 0.000 0.000 0.500
C1 C 0.232 0.250 0.625
```

Results
Calculated density   6.4 g/cm³

=====

<2>
VASP calculation (PBE) on a geometry-optimized CuTcC2 structure.

Structure (CIF):
```
data_CuTcC2
_chemical_formula_sum 'Cu4 Tc4 C8'
_cell_length_a 5.310
_cell_length_b 5.310
_cell_length_c 5.310
_cell_angle_alpha 90.00
_cell_angle_beta 90.00
_cell_angle_gamma 90.00
_symmetry_space_group_name_H-M 'F m -3 m'
_symmetry_Int_Tables_number 225
_symmetry_space_group_name_Hall '-F 4 2 3'
loop_
_atom_site_label
_atom_site_type_symbol
_atom_site_fract_x
_atom_site_fract_y
_atom_site_fract_z
Cu1 Cu 0.000 0.000 0.000
Tc1 Tc 0.000 0.000 0.500
C1 C 0.250 0.250 0.250
```

Results
Calculated density   8.2 g/cm³

=====

Stability check: which of them is least stable? <2>.

=====

<1>
VASP calculation (PBE) on a geometry-optimized CuTeC3 structure.

Structure (CIF):
```
data_CuTeC3
_chemical_formula_sum 'Cu1 Te1 C3'
_cell_length_a 4.153
_cell_length_b 4.153
_cell_length_c 4.153
_cell_angle_alpha 90.00
_cell_angle_beta 90.00
_cell_angle_gamma 90.00
_symmetry_space_group_name_H-M 'P m -3 m'
_symmetry_Int_Tables_number 221
_symmetry_space_group_name_Hall '-P 4 2 3'
loop_
_atom_site_label
_atom_site_type_symbol
_atom_site_fract_x
_atom_site_fract_y
_atom_site_fract_z
Cu1 Cu 0.000 0.000 0.000
Te1 Te 0.500 0.500 0.500
C1 C 0.000 0.500 0.500
```

Results
Calculated density   5.3 g/cm³

=====

<2>
VASP calculation (PBE) on a geometry-optimized CuTeC3 structure.

Structure (CIF):
```
data_CuTeC3
_chemical_formula_sum 'Cu1 Te1 C3'
_cell_length_a 3.965
_cell_length_b 3.965
_cell_length_c 3.965
_cell_angle_alpha 90.00
_cell_angle_beta 90.00
_cell_angle_gamma 90.00
_symmetry_space_group_name_H-M 'P m -3 m'
_symmetry_Int_Tables_number 221
_symmetry_space_group_name_Hall '-P 4 2 3'
loop_
_atom_site_label
_atom_site_type_symbol
_atom_site_fract_x
_atom_site_fract_y
_atom_site_fract_z
Cu1 Cu 0.000 0.000 0.000
Te1 Te 0.500 0.500 0.500
C1 C 0.000 0.000 0.500
```

Results
Calculated density   6.1 g/cm³

=====

Stability check: which of them is least stable? <1>.